Entry 1:
DFT (PBE) results for a relaxed Zr2ScAs crystal.

Cell: 5.5384 5.5384 5.5384 Å, 135.43 135.43 64.87°
Closest atoms and distances in Å follow each position.
Element x y z (fractional)
1 As 0.2500 0.7500 0.5000  4 Sc 2.97, 8 Zr 3.14
2 Sc 0.7500 0.2500 0.5000  4 As 2.97, 8 Zr 3.14
3 Zr 0.0000 0.0000 0.0000  4 Zr 2.97, 4 As 3.14, 4 Sc 3.14
4 Zr 0.5000 0.5000 0.0000  4 Zr 2.97, 4 Sc 3.14, 4 As 3.14

Values from the calculation:
Space group: No. 139
Total DFT energy (no corrections) (eV per cell): -29.8


Entry 2:
DFT (PBE) results for a relaxed ZrScAs2 crystal.

Cell: 4.7562 4.7562 3.4068 Å, 90.00 90.00 90.00°
Closest atoms and distances in Å follow each position.
Element x y z (fractional)
1 As 0.0000 0.0000 0.0000  4 Zr 2.93, 4 Sc 2.93
2 As 0.5000 0.5000 0.0000  4 Sc 2.93, 4 Zr 2.93
3 Sc 0.5000 0.0000 0.5000  8 As 2.93
4 Zr 0.0000 0.5000 0.5000  8 As 2.93

Values from the calculation:
Space group: No. 123
Total DFT energy (no corrections) (eV per cell): -27.5


Table of theoretical density (kg/m³), in record order: 6086; 6163
Table of total moment (μB/cell), in record order: 0.00; 0.59
Table of energy of formation from the pure elements (eV/atom), in record order: -0.428; -0.826